(P)
Below is a relaxed structure of Rb2AlSb, with properties calculated at the PBE level.

It has space group I-42d (No. 122), with a = 4.982 Å, b = 4.982 Å, c = 25.005 Å, α = 90.00°, β = 90.00° and γ = 90.00°. The distinct sites, in fractional coordinates, are Rb at (0.248, 0.250, 0.125), Al at (0.000, 0.000, 0.000) and Sb at (0.000, 0.000, 0.500).

The density of states at the Fermi level is 0.72 states/eV per atom.



(Q)
Below is a relaxed structure of Rb2AlSb, with properties calculated at the PBE level.

It has space group Fm-3m (No. 225), with a = 8.554 Å, b = 8.554 Å, c = 8.554 Å, α = 90.00°, β = 90.00° and γ = 90.00°. The distinct sites, in fractional coordinates, are Rb at (0.250, 0.250, 0.250), Al at (0.000, 0.000, 0.000) and Sb at (0.000, 0.000, 0.500).

The density of states at the Fermi level is 0.00 states/eV per atom.



Energy relative to the most stable one, in meV/atom: (P) 199; (Q) 0



(P)
Below is a relaxed structure of RbAlSb3, with properties calculated at the PBE level.

It has space group Pmn2_1 (No. 31), with a = 7.043 Å, b = 9.139 Å, c = 5.672 Å, α = 90.00°, β = 90.00° and γ = 90.00°. The distinct sites, in fractional coordinates, are Rb at (0.000, 0.084, 0.000), Al at (0.000, 0.533, 0.302), Sb at (0.000, 0.760, 0.608) and Sb at (0.246, 0.325, 0.486).

The density of states at the Fermi level is 0.26 states/eV per atom.



(Q)
Below is a relaxed structure of RbAlSb3, with properties calculated at the PBE level.

It has space group Pm-3m (No. 221), with a = 5.490 Å, b = 5.490 Å, c = 5.490 Å, α = 90.00°, β = 90.00° and γ = 90.00°. The distinct sites, in fractional coordinates, are Rb at (0.000, 0.000, 0.000), Al at (0.500, 0.500, 0.500) and Sb at (0.000, 0.500, 0.500).

The density of states at the Fermi level is 0.82 states/eV per atom.



Energy relative to the most stable one, in meV/atom: (P) 0; (Q) 314



(P)
Below is a relaxed structure of Rb2Al2Sb, with properties calculated at the PBE level.

It has space group I4/mmm (No. 139), with a = 3.795 Å, b = 3.795 Å, c = 24.351 Å, α = 90.00°, β = 90.00° and γ = 90.00°. The distinct sites, in fractional coordinates, are Rb at (0.000, 0.000, 0.106), Al at (0.000, 0.500, 0.250) and Sb at (0.000, 0.000, 0.500).

The density of states at the Fermi level is 0.39 states/eV per atom.



(Q)
Below is a relaxed structure of Rb2Al2Sb, with properties calculated at the PBE level.

It has space group P4/mbm (No. 127), with a = 11.178 Å, b = 11.178 Å, c = 3.066 Å, α = 90.00°, β = 90.00° and γ = 90.00°. The distinct sites, in fractional coordinates, are Rb at (0.209, 0.291, 0.000), Al at (0.081, 0.581, 0.500) and Sb at (0.000, 0.000, 0.000).

The density of states at the Fermi level is 0.86 states/eV per atom.



Energy relative to the most stable one, in meV/atom: (P) 0; (Q) 353